No. 1
20
Lattice="4.147 2.394 14.149 -4.147 2.394 14.149 0.000 -4.789 14.149" Properties=species:S:1:pos:R:3 comment="Cs2InSnPb6 (PBE-GGA, relaxed)" total_magnetization_mub_per_atom=0.00 crystal_system=trigonal e_form_mev_per_atom=44 space_group="No. 166" energy_ev_per_atom=-3.03 pbc="T T T"
Cs 0.000 0.000 6.048
Cs 0.000 0.000 13.352
Cs 0.000 0.000 29.095
Cs 0.000 0.000 36.399
In 0.000 0.000 0.000
In 0.000 0.000 21.224
Sn 0.000 0.000 17.662
Sn 0.000 0.000 24.785
Pb -2.478 -1.431 18.799
Pb 0.000 -2.873 16.731
Pb -2.488 1.436 16.731
Pb -2.488 -1.436 25.716
Pb 0.000 -2.862 23.648
Pb -2.478 1.431 23.648
Pb 2.478 -1.431 18.799
Pb 0.000 2.862 18.799
Pb 2.488 1.436 16.731
Pb 2.488 -1.436 25.716
Pb 0.000 2.873 25.716
Pb 2.478 1.431 23.648



No. 2
10
Lattice="5.382 0.000 0.000 0.000 5.382 0.000 0.000 0.000 12.401" Properties=species:S:1:pos:R:3 comment="Cs2In4SnPb3 (PBE-GGA, relaxed)" total_magnetization_mub_per_atom=0.00 crystal_system=tetragonal e_form_mev_per_atom=-119 space_group="No. 115" energy_ev_per_atom=-2.90 pbc="T T T"
Cs 0.000 2.691 3.093
Cs 2.691 0.000 9.308
In 0.000 0.000 0.000
In 0.000 2.691 7.742
In 2.691 0.000 4.659
In 2.691 2.691 0.000
Sn 0.000 0.000 6.201
Pb 0.000 2.691 10.800
Pb 2.691 0.000 1.601
Pb 2.691 2.691 6.201